Here is a geometry-optimized CsK5Rb3 structure from Alexandria via LeMat-Bulk. Energies are from GGA-PBE.

Lattice parameters (Å, degrees): 10.1638 10.1638 17.5540 86.80 86.80 62.97
Element x y z (fractional)
Rb 0.2580 0.2580 0.4435
Rb 0.0000 0.0000 0.5000
Rb 0.3807 0.3807 0.2101
Rb 0.6193 0.6193 0.7899
Rb 0.0000 0.0000 0.0000
Rb 0.7420 0.7420 0.5565
K 0.6503 0.0872 0.7884
K 0.2568 0.2568 0.9819
K 0.9128 0.3497 0.2116
K 0.6683 0.3317 0.0000
K 0.4427 0.4427 0.6114
K 0.7432 0.7432 0.0181
K 0.5573 0.5573 0.3886
K 0.3317 0.6683 0.0000
K 0.3497 0.9128 0.2116
K 0.0872 0.6503 0.7884
Cs 0.1395 0.1395 0.7311
Cs 0.8605 0.8605 0.2689

## Properties
DFT formation energy   81.5 meV/atom
Volume   89.547 Å³/atom
Final energy   -0.95 eV/atom
SG   C2/m